1.
Below is a relaxed structure of AgSn3Rh, with properties calculated at the GGA-PBE level.

a b c (Å): 5.130 5.130 5.130
angles (deg): 90.00 90.00 90.00
Space group Pm-3m (No. 221)
Inequivalent atoms, fractional coordinates:
Ag 0.000 0.000 0.000
Sn 0.000 0.500 0.500
Rh 0.500 0.500 0.500

Results
ΔE_f = 0.75 eV/f.u.
density of states at the Fermi level = 1.450 states/eV per atom

=====

2.
Below is a relaxed structure of Tb2NbBr, with properties calculated at the GGA-PBE level.

a b c (Å): 3.3141 3.3141 32.1236
angles (deg): 90.00 90.00 120.00
Space group R-3m (No. 166, hexagonal axes)
Inequivalent atoms, fractional coordinates:
Tb 0.0000 0.0000 0.0917
Nb 0.0000 0.0000 0.0000
Br 0.0000 0.0000 0.5000

Results
uncorrected formation energy = 0.1089 eV per atom
density of states at the Fermi level = 1.103 states/eV per atom

=====

3.
Below is a relaxed structure of Mn2AuBr, with properties calculated at the GGA-PBE level.

a b c (Å): 8.419 3.348 7.651
angles (deg): 90.00 121.36 90.00
Space group C2/m (No. 12)
Inequivalent atoms, fractional coordinates:
Mn 0.129 0.000 0.327
Au 0.000 0.500 0.500
Br 0.000 0.500 0.000

Results
uncorrected formation energy = 0.0729 eV per atom
density of states at the Fermi level = 0.330 states/eV per atom

=====

4.
Below is a relaxed structure of ZnCu2Cl4, with properties calculated at the GGA-PBE level.

a b c (Å): 7.396 7.396 6.219
angles (deg): 90.00 90.00 90.00
Space group I4/m (No. 87)
Inequivalent atoms, fractional coordinates:
Zn 0.000 0.000 0.000
Cu 0.000 0.500 0.250
Cl 0.126 0.702 0.000

Results
uncorrected formation energy = -0.5915 eV per atom

=====

5.
Below is a relaxed structure of Pm4NdTh3As8, with properties calculated at the GGA-PBE level.

a b c (Å): 8.5059 8.5059 20.7767
angles (deg): 90.00 90.00 120.00
Space group R-3m (No. 166, hexagonal axes)
Inequivalent atoms, fractional coordinates:
Pm 0.0000 0.0000 0.0000
Pm 0.0000 0.5000 0.0000
Nd 0.0000 0.0000 0.5000
Th 0.0000 0.5000 0.5000
As 0.0000 0.0000 0.2498
As 0.0018 0.5009 0.7502

Results
ΔE_f = -23.99 eV/f.u.
density of states at the Fermi level = 0.379 states/eV per atom